No. 1
This record from Alexandria describes a relaxed Zr2U3P2N4 crystal. The functional is PBE-GGA.

Calculated values
Raw formation energy (eV/atom): -1.09
Space group: I4/mmm (139)

Cell: 3.886 3.886 13.080 Å, 98.54 98.54 90.00°
Element x y z (fractional)
1 Zr 0.414 0.414 0.828
2 Zr 0.586 0.586 0.172
3 U 0.000 0.000 0.000
4 U 0.204 0.204 0.408
5 U 0.796 0.796 0.592
6 P 0.311 0.311 0.622
7 P 0.689 0.689 0.378
8 N 0.449 0.949 0.898
9 N 0.949 0.449 0.898
10 N 0.051 0.551 0.102
11 N 0.551 0.051 0.102

=====

No. 2
This record from Alexandria describes a relaxed V3PN crystal. The functional is PBE-GGA.

Calculated values
E above lowest polymorph (eV per formula unit): 0.00
Raw formation energy (eV/atom): -0.95
Space group: Cmcm (63)

Cell: 5.120 5.120 7.380 Å, 90.00 90.00 144.65°
Element x y z (fractional)
1 V 0.934 0.066 0.250
2 V 0.066 0.934 0.750
3 V 0.634 0.366 0.449
4 V 0.366 0.634 0.551
5 V 0.634 0.366 0.051
6 V 0.366 0.634 0.949
7 P 0.253 0.747 0.250
8 P 0.747 0.253 0.750
9 N 0.000 0.000 0.500
10 N 0.000 0.000 0.000

=====

No. 3
This record from Alexandria describes a relaxed VP2N4 crystal. The functional is PBE-GGA.

Calculated values
Raw formation energy (eV/atom): 0.56
Space group: I4/mmm (139)

Cell: 4.068 4.068 5.522 Å, 68.39 68.39 90.00°
Element x y z (fractional)
1 P 0.633 0.633 0.734
2 P 0.367 0.367 0.266
3 N 0.795 0.795 0.410
4 N 0.205 0.205 0.590
5 N 0.000 0.500 0.000
6 N 0.500 0.000 0.000
7 V 0.000 0.000 0.000

=====

No. 4
This record from Alexandria describes a relaxed VPN3 crystal. The functional is PBE-GGA.

Calculated values
Raw formation energy (eV/atom): 0.50
Space group: Pm-3m (221)

Cell: 3.473 3.473 3.473 Å, 90.00 90.00 90.00°
Element x y z (fractional)
1 P 0.000 0.000 0.000
2 V 0.500 0.500 0.500
3 N 0.000 0.500 0.000
4 N 0.000 0.000 0.500
5 N 0.500 0.000 0.000